VASP calculation (GGA+U) on crystalline Cs3BaV2O8 at its relaxed geometry.

Lattice parameters (Å, degrees): 6.541 6.541 8.598 90.00 90.00 120.00
Each line ends with the local moment (μB).
Fractional positions:
O  0.813  0.187  0.691  0.10
O  0.187  0.813  0.309  0.10
O  0.374  0.187  0.691  0.10
O  0.626  0.813  0.309  0.10
O  0.667  0.333  0.958  0.22
O  0.187  0.374  0.309  0.10
O  0.333  0.667  0.042  0.22
O  0.813  0.626  0.691  0.10
Cs  0.667  0.333  0.298  0.00
Cs  0.000  0.000  0.000  0.00
Cs  0.333  0.667  0.702  0.00
V  0.667  0.333  0.757  -0.10
V  0.333  0.667  0.243  -0.10
Ba  0.000  0.000  0.500  0.00

Summary:
uncorrected energy: -0.2296 hartree per atom
calculated volume: 319 Å³ per cell
size of the total moment: 1.100 μB/cell